The following is a DFT calculation (PBE) of crystalline CaGa3Ag at its relaxed geometry.

Calculated values
**Calculated total energy**: -13.52 eV/cell

The structure in extended XYZ format:
```
5
Lattice="-2.2145 -2.9729 -3.3891 1.6870 -4.0481 2.4486 -4.1807 -0.0587 2.7833" Properties=species:S:1:pos:R:3 pbc="T T T"
Ca -2.3541 -3.5399 0.9214
Ga -1.1073 -1.4865 -1.6946
Ag 0.0000 0.0000 0.0000
Ga 0.8435 -2.0240 1.2243
Ga -2.0904 -0.0294 1.3917
```


The following is a DFT calculation (PBE) of crystalline SrLaRe2Ru at its relaxed geometry.

Calculated values
**Calculated total energy**: -35.31 eV/cell

The structure in extended XYZ format:
```
5
Lattice="4.8459 0.0000 0.0000 0.0000 5.2442 0.0000 0.0000 0.0000 4.8459" Properties=species:S:1:pos:R:3 pbc="T T T"
La 2.4229 2.6221 2.4229
Ru 0.0000 0.0000 0.0000
Re 2.4229 0.0000 0.0000
Re 0.0000 0.0000 2.4229
Sr 0.0000 2.6221 0.0000
```


The following is a DFT calculation (PBE) of crystalline Ba2SrAc2Tl5 at its relaxed geometry.

Calculated values
**Calculated total energy**: -56.23 eV/cell

The structure in extended XYZ format:
```
20
Lattice="4.2804 0.0000 0.0000 0.0000 13.5841 0.0000 0.0000 0.0000 13.5841" Properties=species:S:1:pos:R:3 pbc="T T T"
Tl 2.1402 0.0000 6.7921
Ac 0.0000 4.9322 1.8598
Sr 0.0000 6.7921 6.7921
Ba 0.0000 2.2313 4.5608
Tl 2.1402 8.0851 9.0626
Tl 2.1402 5.4990 4.5215
Ac 0.0000 11.7243 4.9322
Tl 2.1402 1.2930 11.3136
Tl 2.1402 2.2705 1.2930
Ac 0.0000 8.6519 11.7243
Ba 0.0000 9.0234 2.2313
Tl 2.1402 9.0626 5.4990
Ac 0.0000 1.8598 8.6519
Tl 2.1402 4.5215 8.0851
Sr 0.0000 0.0000 0.0000
Ba 0.0000 11.3528 9.0234
Tl 2.1402 12.2911 2.2705
Tl 2.1402 11.3136 12.2911
Tl 2.1402 6.7921 0.0000
Ba 0.0000 4.5608 11.3528
```


The following is a DFT calculation (PBE) of crystalline Nb5SnRu6 at its relaxed geometry.

Calculated values
**Calculated total energy**: -112.87 eV/cell

The structure in extended XYZ format:
```
12
Lattice="4.1984 0.0154 -1.2262 -0.9375 6.0184 -3.1347 -0.0490 0.0809 7.6549" Properties=species:S:1:pos:R:3 pbc="T T T"
Ru -0.1742 5.6271 -0.5159
Ru 2.8993 3.6127 2.1823
Nb 2.6516 1.0901 1.2996
Ru 1.8820 1.4023 -1.3394
Nb 2.1011 3.9459 -0.5377
Nb 0.5603 5.0246 1.9944
Nb 1.1108 2.1688 3.8317
Ru 1.3299 4.7124 4.6334
Nb -0.4687 3.0092 -1.5673
Ru 3.3861 0.4876 3.8100
Sn 0.0000 0.0000 0.0000
Ru 0.3126 2.5020 1.1117
```


Which energy of formation from the pure elements belongs to each record? In order, 83, 1094, -254, -238 meV/atom.